The following is a PBE calculation of crystalline Na5Mg3 at its relaxed geometry, from Alexandria.

## Properties
Energy relative to the lowest polymorph listed for this composition (eV/atom): 0.052
ΔE_f (meV per atom): 142
Total energy (eV per formula unit): -10.2
Total moment (μB/f.u.): 0.0
Space-group type: P6_3/mcm (193)

a = 9.8172 Å, b = 9.8173 Å, c = 6.1305 Å
α = 90.00°, β = 90.00°, γ = 120.03°
Atoms (fractional coordinates):
Na1 0.0001 0.2358 0.2500
Na2 0.9999 0.7642 0.7500
Na3 0.2358 0.0001 0.2500
Na4 0.2352 0.2352 0.7500
Na5 0.3335 0.6665 0.0000
Na6 0.3335 0.6665 0.5000
Na7 0.6665 0.3335 0.0000
Na8 0.6665 0.3335 0.5000
Na9 0.7642 0.9999 0.7500
Na10 0.7648 0.7648 0.2500
Mg1 0.9998 0.4173 0.7500
Mg2 0.0002 0.5827 0.2500
Mg3 0.4173 0.9998 0.7500
Mg4 0.4175 0.4175 0.2500
Mg5 0.5827 0.0002 0.2500
Mg6 0.5825 0.5825 0.7500

***

The following is a PBE calculation of crystalline NaMg2 at its relaxed geometry, from Alexandria.

## Properties
ΔE_f (meV per atom): 90
Total energy (eV per formula unit): -4.2
Total moment (μB/f.u.): 0.0
Space-group type: Immm (71)

a = 5.7974 Å, b = 5.7974 Å, c = 5.7974 Å
α = 147.40°, β = 131.27°, γ = 59.86°
Atoms (fractional coordinates):
Mg1 0.3273 0.3273 0.0000
Mg2 0.6727 0.6727 0.0000
Na1 0.0000 0.0000 0.0000

***

The following is a PBE calculation of crystalline Na4Mg3 at its relaxed geometry, from Alexandria.

## Properties
Energy relative to the lowest polymorph listed for this composition (eV/atom): 0.005
ΔE_f (meV per atom): 75
Total energy (eV per formula unit): -9.5
Total moment (μB/f.u.): 0.0
Space-group type: I4/mmm (139)

a = 18.3956 Å, b = 18.3956 Å, c = 18.3956 Å
α = 169.44°, β = 169.44°, γ = 14.96°
Atoms (fractional coordinates):
Na1 0.8479 0.8479 0.0000
Na2 0.1521 0.1521 0.0000
Na3 0.5693 0.5693 0.0000
Na4 0.4307 0.4307 0.0000
Mg1 0.0000 0.0000 0.0000
Mg2 0.7219 0.7219 0.0000
Mg3 0.2781 0.2781 0.0000

***

The following is a PBE calculation of crystalline NaMg5 at its relaxed geometry, from Alexandria.

## Properties
Energy relative to the lowest polymorph listed for this composition (eV/atom): 0.022
ΔE_f (meV per atom): 64
Total energy (eV per formula unit): -8.9
Total moment (μB/f.u.): 0.0
Space-group type: Cmmm (65)

a = 7.0797 Å, b = 7.0797 Å, c = 4.6232 Å
α = 90.00°, β = 90.00°, γ = 140.59°
Atoms (fractional coordinates):
Na1 0.5000 0.5000 0.0000
Mg1 0.3299 0.6701 0.5000
Mg2 0.1708 0.8292 0.0000
Mg3 0.0000 0.0000 0.5000
Mg4 0.8292 0.1708 0.0000
Mg5 0.6701 0.3299 0.5000

***

The following is a PBE calculation of crystalline NaMg6 at its relaxed geometry, from Alexandria.

## Properties
ΔE_f (meV per atom): 606
Total energy (eV per formula unit): -6.6
Total moment (μB/f.u.): 0.0
Space-group type: Im-3m (229)

a = 7.1165 Å, b = 7.1165 Å, c = 7.1165 Å
α = 109.47°, β = 109.47°, γ = 109.47°
Atoms (fractional coordinates):
Na1 0.0000 0.0000 0.0000
Mg1 0.2500 0.7500 0.5000
Mg2 0.5000 0.7500 0.2500
Mg3 0.2500 0.5000 0.7500
Mg4 0.7500 0.2500 0.5000
Mg5 0.5000 0.2500 0.7500
Mg6 0.7500 0.5000 0.2500

***

The following is a PBE calculation of crystalline NaMg at its relaxed geometry, from Alexandria.

## Properties
ΔE_f (meV per atom): 148
Total energy (eV per formula unit): -2.6
Total moment (μB/f.u.): 0.0
Space-group type: Pm-3m (221)

a = 3.8626 Å, b = 3.8626 Å, c = 3.8626 Å
α = 90.00°, β = 90.00°, γ = 90.00°
Atoms (fractional coordinates):
Mg1 0.5000 0.5000 0.5000
Na1 0.0000 0.0000 0.0000

***

> Which formula does entry 5 have?

NaMg6